# CuRe4Pb

A relaxed structure of CuRe4Pb (GGA-PBE, Alexandria).

Unit cell a=5.2775 b=5.2775 c=5.2775 alpha=60.00 beta=60.00 gamma=60.00
Atoms (fractional coordinates):
Re1 0.3760 0.8719 0.3760
Re2 0.8719 0.3760 0.3760
Re3 0.3760 0.3760 0.3760
Re4 0.3760 0.3760 0.8719
Pb1 0.0000 0.0000 0.0000
Cu1 0.7500 0.7500 0.7500

* space group: F-43m
* energy of formation: 875 meV per atom